## LaDyHo2Tm4 (GGA-PBE)

Data for an optimized crystal structure of LaDyHo2Tm4.

abc: 12.2105 7.0847 12.2104
angles: 125.48 131.55 89.97
Closest atoms and distances in Å follow each position.
Positions (direct):
Tm 0.2503 0.2499 0.9968  4 Ho 3.50-3.54, 4 Tm 3.50-3.58, 2 Dy 3.52-3.54, 2 La 3.56
Tm 0.7496 0.7492 0.4962  4 Ho 3.50-3.54, 4 Tm 3.50-3.58, 2 Dy 3.52-3.55, 2 La 3.56-3.57
Tm 0.2502 0.2507 0.5036  4 Ho 3.49-3.54, 4 Tm 3.50-3.58, 2 Dy 3.52-3.54, 2 La 3.56-3.57
Tm 0.2501 0.7565 0.5036  4 Ho 3.50-3.54, 4 Tm 3.50-3.58, 2 Dy 3.52-3.54, 2 La 3.56-3.57
Tm 0.7499 0.7503 0.0033  4 Ho 3.50-3.54, 4 Tm 3.50-3.58, 2 Dy 3.52-3.54, 2 La 3.56-3.57
Tm 0.7497 0.2433 0.4963  4 Ho 3.50-3.54, 4 Tm 3.50-3.58, 2 Dy 3.52-3.54, 2 La 3.56
Tm 0.2503 0.7439 0.9969  4 Ho 3.49-3.54, 4 Tm 3.50-3.58, 2 Dy 3.52-3.54, 2 La 3.56
Tm 0.7499 0.2562 0.0033  4 Ho 3.49-3.54, 4 Tm 3.50-3.58, 2 Dy 3.52-3.55, 2 La 3.56
La 0.4998 0.4998 0.5000  2 Ho 3.54, 2 La 3.55, 8 Tm 3.56-3.57
La 0.9998 0.9998 0.9996  2 Dy 3.54, 2 La 3.55, 8 Tm 3.56-3.57
Dy 0.0001 0.5002 0.0001  2 La 3.54, 8 Tm 3.54-3.55, 2 Ho 3.55
Dy 0.0001 0.5001 0.5002  8 Tm 3.52, 4 Ho 3.54-3.55
Ho 0.5001 0.0001 0.0001  8 Tm 3.51-3.52, 2 Ho 3.54, 2 Dy 3.54-3.55
Ho 0.5001 0.0001 0.5002  8 Tm 3.54, 2 La 3.54, 2 Dy 3.55
Ho 0.5000 0.5000 0.9999  8 Tm 3.49-3.50, 4 Ho 3.54-3.55
Ho 0.9999 0.9999 0.5000  8 Tm 3.50, 2 Dy 3.54, 2 Ho 3.54-3.55

Properties
energy of formation from the pure elements	0.03	eV per atom
DOS at the Fermi energy	1.385	states/eV/atom
mass density	8.69	g/cm3
size of the total moment	0.0	μB/f.u.